1.
DFT (PBE) results for a geometry-optimized TbSm4Rh5 structure.

The total moment comes out at 0.000 μB per atom. The calculation puts the energy of formation at -0.735 eV/atom.

It has space group P4/mmm (No. 123), with a = 3.5312 Å, b = 3.5312 Å, c = 17.1154 Å, α = 90.00°, β = 90.00° and γ = 90.00°. The inequivalent atoms are Tb at (0.0000, 0.0000, 0.0000), Sm at (0.0000, 0.0000, 0.1982), Sm at (0.0000, 0.0000, 0.3993), Rh at (0.5000, 0.5000, 0.0967), Rh at (0.5000, 0.5000, 0.2985) and Rh at (0.5000, 0.5000, 0.5000).

---

2.
DFT (PBE) results for a geometry-optimized TbSm2Rh structure.

The total moment comes out at 0.131 μB per atom. The calculation puts the energy of formation at -0.283 eV/atom. The value obtained for the relative energy among the computed polymorphs is 191 meV/atom.

It has space group R3m (No. 160, hexagonal axes), with a = 3.8773 Å, b = 3.8773 Å, c = 27.8290 Å, α = 90.00°, β = 90.00° and γ = 120.00°. The inequivalent atoms are Tb at (0.0000, 0.0000, 0.0000), Sm at (0.0000, 0.0000, 0.5596), Sm at (0.0000, 0.0000, 0.7719) and Rh at (0.0000, 0.0000, 0.1654).

---

3.
DFT (PBE) results for a geometry-optimized TbSmRh structure.

The total moment comes out at 0.000 μB per atom. The calculation puts the energy of formation at -0.498 eV/atom. The value obtained for the relative energy among the computed polymorphs is 122 meV/atom.

It has space group I4mm (No. 107), with a = 3.4938 Å, b = 3.4938 Å, c = 12.8426 Å, α = 90.00°, β = 90.00° and γ = 90.00°. The inequivalent atoms are Tb at (0.0000, 0.0000, 0.0000), Sm at (0.0000, 0.0000, 0.2589) and Rh at (0.0000, 0.0000, 0.6247).

---

4.
DFT (PBE) results for a geometry-optimized Tb3Sm2Rh2 structure.

The total moment comes out at 0.000 μB per atom. The calculation puts the energy of formation at -0.548 eV/atom.

It has space group C2/m (No. 12), with a = 12.2165 Å, b = 3.8043 Å, c = 9.0341 Å, α = 90.00°, β = 116.35° and γ = 90.00°. The inequivalent atoms are Tb at (0.0000, 0.0000, 0.0000), Tb at (0.1164, 0.0000, 0.4299), Sm at (0.1660, 0.5000, 0.8084) and Rh at (0.1751, 0.5000, 0.2427).